Crystalline Rb5TmO4 at its relaxed geometry. Source: Alexandria via LeMat-Bulk, functional PBE.

Output
The density of states at the Fermi level is 0.000 states/eV/cell. The calculation puts the energy above the lowest structure with this stoichiometry at 0.0 meV per atom. The value obtained for the total magnetic moment is 0.09 μB per cell. For the uncorrected formation energy, the calculation gives -16.7 eV per formula unit.

```
Rb5TmO4
1.0
8.4913 0.0000 0.0000
0.0000 9.1158 0.0000
0.0000 0.0000 6.6484
Rb Tm O
10 2 8
direct
0.0133 0.0611 0.2410 Rb
0.0133 0.4389 0.2410 Rb
0.2500 0.7500 0.3289 Rb
0.4867 0.0611 0.2410 Rb
0.4867 0.4389 0.2410 Rb
0.5133 0.5611 0.7590 Rb
0.5133 0.9389 0.7590 Rb
0.7500 0.2500 0.6711 Rb
0.9867 0.5611 0.7590 Rb
0.9867 0.9389 0.7590 Rb
0.2500 0.2500 0.7130 Tm
0.7500 0.7500 0.2870 Tm
0.0360 0.2500 0.8836 O
0.2500 0.0509 0.5394 O
0.2500 0.4491 0.5394 O
0.4640 0.2500 0.8836 O
0.5360 0.7500 0.1164 O
0.7500 0.5509 0.4606 O
0.7500 0.9491 0.4606 O
0.9640 0.7500 0.1164 O
```



Crystalline RbTmO2 at its relaxed geometry. Source: Alexandria via LeMat-Bulk, functional PBE.

Output
The density of states at the Fermi level is 0.000 states/eV/cell. The value obtained for the total magnetic moment is 0.00 μB per cell. For the uncorrected formation energy, the calculation gives -11.0 eV per formula unit.

```
RbTmO2
1.0
1.7256 0.9963 6.5403
-1.7256 0.9963 6.5403
0.0000 -1.9926 6.5403
Rb Tm O
1 1 2
direct
0.0000 0.0000 0.0000 Rb
0.5000 0.5000 0.5000 Tm
0.2243 0.2243 0.2243 O
0.7757 0.7757 0.7757 O
```



Crystalline Rb5TmO4 at its relaxed geometry. Source: Alexandria via LeMat-Bulk, functional PBE.

Output
The calculation puts the energy above the lowest structure with this stoichiometry at 121.0 meV per atom. The value obtained for the total magnetic moment is 0.00 μB per cell. For the uncorrected formation energy, the calculation gives -15.4 eV per formula unit.

```
Rb5TmO4
1.0
8.9580 -1.8513 0.0000
8.9580 1.8513 0.0000
-1.8658 0.0000 7.4084
Rb Tm O
5 1 4
direct
0.0000 0.0000 0.0000 Rb
0.3426 0.3426 0.6389 Rb
0.3484 0.3484 0.1783 Rb
0.6516 0.6516 0.8217 Rb
0.6574 0.6574 0.3611 Rb
0.0000 0.0000 0.5000 Tm
0.1310 0.1310 0.5796 O
0.4994 0.4994 0.7012 O
0.5006 0.5006 0.2988 O
0.8690 0.8690 0.4204 O
```



Crystalline Rb4TmU3O12 at its relaxed geometry. Source: Alexandria via LeMat-Bulk, functional PBE.

Output
The density of states at the Fermi level is 8.397 states/eV/cell. The value obtained for the total magnetic moment is 1.00 μB per cell. For the uncorrected formation energy, the calculation gives -57.9 eV per formula unit.

```
Rb4TmU3O12
1.0
-4.3394 4.3394 4.3394
4.3394 -4.3394 4.3394
4.3394 4.3394 -4.3394
Rb Tm U O
4 1 3 12
direct
0.0000 0.0000 0.5000 Rb
0.0000 0.5000 0.0000 Rb
0.5000 0.0000 0.0000 Rb
0.5000 0.5000 0.5000 Rb
0.0000 0.0000 0.0000 Tm
0.0000 0.5000 0.5000 U
0.5000 0.0000 0.5000 U
0.5000 0.5000 0.0000 U
0.0000 0.2640 0.2640 O
0.0000 0.7360 0.7360 O
0.2500 0.5000 0.7500 O
0.2500 0.7500 0.5000 O
0.2640 0.0000 0.2640 O
0.2640 0.2640 0.0000 O
0.5000 0.2500 0.7500 O
0.5000 0.7500 0.2500 O
0.7360 0.0000 0.7360 O
0.7360 0.7360 0.0000 O
0.7500 0.2500 0.5000 O
0.7500 0.5000 0.2500 O
```



Crystalline Rb2TmUO6 at its relaxed geometry. Source: Alexandria via LeMat-Bulk, functional PBE.

Output
The density of states at the Fermi level is 8.217 states/eV/cell. The value obtained for the total magnetic moment is 1.05 μB per cell. For the uncorrected formation energy, the calculation gives -26.8 eV per formula unit.

```
Rb2TmUO6
1.0
0.0000 4.3437 4.3437
4.3437 0.0000 4.3437
4.3437 4.3437 0.0000
Rb Tm U O
2 1 1 6
direct
0.2500 0.2500 0.2500 Rb
0.7500 0.7500 0.7500 Rb
0.0000 0.0000 0.0000 Tm
0.5000 0.5000 0.5000 U
0.2592 0.2592 0.7408 O
0.2592 0.7408 0.2592 O
0.2592 0.7408 0.7408 O
0.7408 0.2592 0.2592 O
0.7408 0.2592 0.7408 O
0.7408 0.7408 0.2592 O
```